This record from the Alexandria database describes a relaxed MoIrRh2 crystal. The functional is PBEsol.

Output
Its total magnetization is 0.00 Bohr magnetons per cell. The calculation puts the formation energy from the elements at -0.21 eV/atom. As for the space group: Pmm2 (25). Its offset from the most stable computed form is 25 meV/atom.

abc: 2.719 4.333 4.731
angles: 90.00 90.00 90.00
Fractional positions:
Mo: 0.500 0.500 0.213
Rh: 0.000 0.000 0.038
Rh: 0.000 0.500 0.708
Ir: 0.500 0.000 0.541

---

This record from the Alexandria database describes a relaxed ZnP2Ru crystal. The functional is PBEsol.

Output
Its total magnetization is 0.00 Bohr magnetons per cell. The calculation puts the formation energy from the elements at 0.20 eV/atom. As for the space group: I-4m2 (119).

abc: 3.672 3.672 4.702
angles: 112.98 112.98 90.00
Fractional positions:
Ru: 0.500 0.500 0.000
P: 0.750 0.250 0.500
P: 0.000 0.000 0.000
Zn: 0.250 0.750 0.500

---

This record from the Alexandria database describes a relaxed CaMgSe2 crystal. The functional is PBEsol.

Output
Its total magnetization is 0.00 Bohr magnetons per cell. Its uncorrected formation energy is -1.598 eV per atom. As for the space group: P4/mmm (123).

abc: 4.022 4.022 5.696
angles: 90.00 90.00 90.00
Fractional positions:
Mg: 0.000 0.125 0.500
Se: 0.500 0.625 0.500
Se: 0.000 0.125 0.000
Ca: 0.500 0.625 0.000

---

This record from the Alexandria database describes a relaxed Rb2BeAsCl crystal. The functional is PBEsol.

Output
Its total magnetization is 0.00 Bohr magnetons per cell. Its uncorrected formation energy is 0.242 eV per atom. As for the space group: P4/mmm (123).

abc: 4.982 6.073 6.073
angles: 90.00 90.00 90.00
Fractional positions:
Rb: 0.000 0.500 0.000
Rb: 0.000 0.000 0.500
Be: 0.500 0.500 0.500
Cl: 0.000 0.000 0.000
As: 0.500 0.000 0.000

---

This record from the Alexandria database describes a relaxed NaZr2Bi2 crystal. The functional is PBEsol.

Output
Its total magnetization is 0.00 Bohr magnetons per cell. The calculation puts the formation energy from the elements at -0.12 eV/atom. As for the space group: I4/mmm (139).

abc: 4.610 4.610 7.605
angles: 107.64 107.64 90.00
Fractional positions:
Na: 0.000 0.000 0.000
Bi: 0.383 0.383 0.766
Bi: 0.617 0.617 0.234
Zr: 0.750 0.250 0.500
Zr: 0.250 0.750 0.500

---

This record from the Alexandria database describes a relaxed CdSb2TeN crystal. The functional is PBEsol.

Output
Its total magnetization is 2.65 Bohr magnetons per cell. Its uncorrected formation energy is 1.699 eV per atom. As for the space group: P4/mmm (123). Its offset from the most stable computed form is 1199 meV/atom.

abc: 5.453 5.453 5.587
angles: 90.00 90.00 90.00
Fractional positions:
Sb: 0.500 0.000 0.000
Sb: 0.000 0.500 0.000
Cd: 0.000 0.000 0.000
N: 0.500 0.500 0.500
Te: 0.000 0.000 0.500

---

This record from the Alexandria database describes a relaxed TlCo2Ru crystal. The functional is PBEsol.

Output
Its total magnetization is 3.96 Bohr magnetons per cell. The calculation puts the formation energy from the elements at 0.54 eV/atom. As for the space group: Imm2 (44). Its offset from the most stable computed form is 82 meV/atom.

abc: 3.008 4.293 5.019
angles: 115.32 107.44 90.00
Fractional positions:
Co: 0.736 0.236 0.471
Co: 0.018 0.018 0.036
Tl: 0.260 0.760 0.520
Ru: 0.486 0.486 0.973

---

This record from the Alexandria database describes a relaxed La3Co2CuO9 crystal. The functional is PBEsol.

Output
Its total magnetization is 4.09 Bohr magnetons per cell. Its uncorrected formation energy is -2.240 eV per atom. As for the space group: P-3c1 (165).

abc: 5.431 5.431 12.949
angles: 90.00 90.00 120.00
Fractional positions:
La: 0.333 0.667 0.082
La: 0.667 0.333 0.918
La: 0.333 0.667 0.582
La: 0.000 0.000 0.250
La: 0.667 0.333 0.418
La: 0.000 0.000 0.750
O: 0.558 0.000 0.250
O: 0.442 0.442 0.250
O: 0.880 0.227 0.086
O: 0.347 0.120 0.086
O: 0.773 0.120 0.586
O: 0.000 0.442 0.750
O: 0.773 0.653 0.086
O: 0.880 0.653 0.586
O: 0.120 0.347 0.414
O: 0.000 0.558 0.250
O: 0.653 0.880 0.914
O: 0.227 0.347 0.914
O: 0.558 0.558 0.750
O: 0.120 0.773 0.914
O: 0.227 0.880 0.414
O: 0.442 0.000 0.750
O: 0.347 0.227 0.586
O: 0.653 0.773 0.414
Co: 0.333 0.667 0.832
Co: 0.667 0.333 0.168
Co: 0.667 0.333 0.668
Co: 0.333 0.667 0.332
Cu: 0.000 0.000 0.000
Cu: 0.000 0.000 0.500